An optimized crystal structure of Ba2DyBiO6. Source: the Alexandria database, functional PBEsol.

Computed properties:
**Uncorrected energy**: -69.62 eV for the cell shown
**Energy relative to the elements, uncorrected**: -2456.1 meV/atom

Lattice parameters (Å, degrees): 6.0806 6.0806 6.0806 60.00 60.00 60.00
Fractional coordinates of all 10 atoms:
1 O 0.7553 0.2447 0.2447
2 O 0.2447 0.7553 0.2447
3 O 0.2447 0.7553 0.7553
4 O 0.7553 0.7553 0.2447
5 O 0.7553 0.2447 0.7553
6 O 0.2447 0.2447 0.7553
7 Bi 0.0000 0.0000 0.0000
8 Ba 0.7500 0.7500 0.7500
9 Ba 0.2500 0.2500 0.2500
10 Dy 0.5000 0.5000 0.5000



An optimized crystal structure of Mg2BeTe. Source: the Alexandria database, functional PBEsol.

Computed properties:
**Uncorrected energy**: -10.20 eV for the cell shown
**Energy relative to the elements, uncorrected**: 190.6 meV/atom

Lattice parameters (Å, degrees): 4.3092 4.3092 5.2559 114.20 114.20 90.00
Fractional coordinates of all 4 atoms:
1 Mg 0.7500 0.2500 0.5000
2 Mg 0.2500 0.7500 0.5000
3 Te 0.5000 0.5000 0.0000
4 Be 0.0000 0.0000 0.0000



An optimized crystal structure of Tl6S. Source: the Alexandria database, functional PBEsol.

Computed properties:
**Uncorrected energy**: -20.43 eV for the cell shown
**Energy relative to the elements, uncorrected**: -37.8 meV/atom

Lattice parameters (Å, degrees): 5.7822 6.3165 6.3165 120.00 90.00 90.00
Fractional coordinates of all 7 atoms:
1 Tl 0.0095 0.3726 0.3726
2 Tl 0.0095 0.0000 0.6274
3 Tl 0.5328 0.0000 0.3720
4 Tl 0.5328 0.3720 0.0000
5 Tl 0.5328 0.6280 0.6280
6 Tl 0.0095 0.6274 0.0000
7 S 0.2705 0.0000 0.0000



An optimized crystal structure of AlZn2In. Source: the Alexandria database, functional PBEsol.

Computed properties:
**Uncorrected energy**: -9.72 eV for the cell shown
**ΔE_f**: 0.131 eV per atom

Lattice parameters (Å, degrees): 3.1655 4.2664 5.4652 90.00 104.59 90.00
Fractional coordinates of all 4 atoms:
1 In 0.2172 0.5000 0.7946
2 Al 0.5261 0.0000 0.4379
3 Zn 0.9513 0.5000 0.2789
4 Zn 0.8054 0.0000 0.9886



An optimized crystal structure of ReSiN2. Source: the Alexandria database, functional PBEsol.

Computed properties:
**Uncorrected energy**: -36.64 eV for the cell shown
**Energy relative to the elements, uncorrected**: -127.9 meV/atom

Lattice parameters (Å, degrees): 2.7923 2.7923 6.3773 77.35 77.35 60.00
Fractional coordinates of all 4 atoms:
1 Re 0.5000 0.5000 0.5000
2 Si 0.0000 0.0000 0.0000
3 N 0.9042 0.9042 0.2873
4 N 0.0958 0.0958 0.7127



An optimized crystal structure of K2NiO2. Source: the Alexandria database, functional PBEsol.

Computed properties:
**Uncorrected energy**: -24.51 eV for the cell shown
**Energy relative to the elements, uncorrected**: -1117.7 meV/atom

Lattice parameters (Å, degrees): 3.9054 3.9054 6.8851 106.48 106.48 90.00
Last column: magnetic moment on the atom in μB.
Fractional coordinates of all 5 atoms:
1 K 0.6526 0.6526 0.3052  0.00
2 K 0.3474 0.3474 0.6948  0.00
3 O 0.1337 0.1337 0.2674  0.33
4 O 0.8663 0.8663 0.7326  0.33
5 Ni 0.0000 0.0000 0.0000  1.24



An optimized crystal structure of TiNb2CrFe. Source: the Alexandria database, functional PBEsol.

Computed properties:
**Uncorrected energy**: -45.28 eV for the cell shown
**ΔE_f**: 0.778 eV per atom

Lattice parameters (Å, degrees): 4.0458 4.6066 4.6066 90.00 90.00 90.00
Last column: magnetic moment on the atom in μB.
Fractional coordinates of all 5 atoms:
1 Nb 0.0000 0.5000 0.0000  -0.12
2 Nb 0.0000 0.0000 0.5000  -0.12
3 Cr 0.5000 0.0000 0.0000  1.04
4 Ti 0.5000 0.5000 0.5000  -0.04
5 Fe 0.0000 0.0000 0.0000  -0.01



An optimized crystal structure of GaPH9C3Cl3O. Source: the Alexandria database, functional PBEsol.

Computed properties:
**Uncorrected energy**: -179.58 eV for the cell shown

Lattice parameters (Å, degrees): 6.5530 6.5530 12.4840 99.15 99.15 102.59
Fractional coordinates of all 36 atoms:
1 C 0.7053 0.5054 0.7379
2 C 0.5054 0.7053 0.2379
3 C 0.0727 0.5282 0.1167
4 C 0.5282 0.0727 0.6167
5 C 0.9160 0.1741 0.7858
6 C 0.1741 0.9160 0.2858
7 H 0.0650 0.2966 0.8243
8 H 0.6288 0.8530 0.2776
9 H 0.0270 0.9559 0.2491
10 H 0.1411 0.8212 0.3494
11 H 0.5618 0.6113 0.1727
12 H 0.4701 0.6091 0.3008
13 H 0.9283 0.5639 0.0736
14 H 0.4305 0.1385 0.5573
15 H 0.0303 0.4381 0.1809
16 H 0.6113 0.5618 0.6727
17 H 0.8530 0.6288 0.7776
18 H 0.9559 0.0270 0.7491
19 H 0.5639 0.9283 0.5736
20 H 0.2966 0.0650 0.3243
21 H 0.1385 0.4305 0.0573
22 H 0.6091 0.4701 0.8008
23 H 0.8212 0.1411 0.8494
24 H 0.4381 0.0303 0.6809
25 Cl 0.4711 0.2946 0.9694
26 Cl 0.2946 0.4711 0.4694
27 Cl 0.7731 0.9183 0.0272
28 Cl 0.9183 0.7731 0.5272
29 Cl 0.2833 0.7508 0.8287
30 Cl 0.7508 0.2833 0.3287
31 O 0.9162 0.3059 0.5940
32 O 0.3059 0.9162 0.0940
33 Ga 0.4552 0.9647 0.9833
34 Ga 0.9647 0.4552 0.4833
35 P 0.2682 0.7711 0.1791
36 P 0.7711 0.2682 0.6791



An optimized crystal structure of LiMg14AlO16. Source: the Alexandria database, functional PBEsol.

Computed properties:
**Uncorrected energy**: -201.15 eV for the cell shown
**Energy relative to the elements, uncorrected**: -2720.7 meV/atom

Lattice parameters (Å, degrees): 4.1801 8.3905 8.3905 90.00 90.00 90.00
Fractional coordinates of all 32 atoms:
1 O 0.0000 0.2394 0.5000
2 O 0.0000 0.0000 0.2299
3 O 0.5000 0.5000 0.5000
4 O 0.5000 0.5000 0.0000
5 O 0.0000 0.2299 0.0000
6 O 0.5000 0.2483 0.7517
7 O 0.0000 0.7701 0.0000
8 O 0.0000 0.7606 0.5000
9 O 0.5000 0.0000 0.5000
10 O 0.5000 0.0000 0.0000
11 O 0.5000 0.7517 0.2483
12 O 0.5000 0.7517 0.7517
13 O 0.5000 0.2483 0.2483
14 O 0.0000 0.0000 0.7701
15 O 0.0000 0.5000 0.2394
16 O 0.0000 0.5000 0.7606
17 Mg 0.0000 0.7444 0.2556
18 Mg 0.5000 0.2571 0.5000
19 Mg 0.0000 0.7444 0.7444
20 Mg 0.5000 0.5000 0.2571
21 Mg 0.5000 0.0000 0.7477
22 Mg 0.0000 0.2556 0.7444
23 Mg 0.5000 0.5000 0.7429
24 Mg 0.0000 0.0000 0.5000
25 Mg 0.0000 0.2556 0.2556
26 Mg 0.5000 0.2523 0.0000
27 Mg 0.5000 0.0000 0.2523
28 Mg 0.5000 0.7429 0.5000
29 Mg 0.5000 0.7477 0.0000
30 Mg 0.0000 0.5000 0.0000
31 Al 0.0000 0.0000 0.0000
32 Li 0.0000 0.5000 0.5000



An optimized crystal structure of KTaZn2. Source: the Alexandria database, functional PBEsol.

Computed properties:
**Uncorrected energy**: -14.24 eV for the cell shown
**ΔE_f**: 0.651 eV per atom

Lattice parameters (Å, degrees): 2.6314 5.2827 5.6464 90.00 90.00 90.00
Fractional coordinates of all 4 atoms:
1 Zn 0.0000 0.0000 0.8754
2 Zn 0.5000 0.5000 0.3744
3 Ta 0.5000 0.5000 0.8746
4 K 0.0000 0.0000 0.3756



An optimized crystal structure of TaMo4S10. Source: the Alexandria database, functional PBEsol.

Computed properties:
**Uncorrected energy**: -118.39 eV for the cell shown
**Energy relative to the elements, uncorrected**: -995.2 meV/atom

Lattice parameters (Å, degrees): 5.5106 6.2657 8.4193 101.03 109.11 98.39
Fractional coordinates of all 15 atoms:
1 S 0.1391 0.2412 0.8485
2 S 0.2763 0.7584 0.9517
3 S 0.3291 0.2434 0.2480
4 S 0.9298 0.2436 0.4497
5 S 0.7319 0.2410 0.0528
6 S 0.8694 0.7589 0.1560
7 S 0.0662 0.7563 0.5517
8 S 0.4654 0.7562 0.3503
9 S 0.5271 0.2410 0.6440
10 S 0.6649 0.7588 0.7473
11 Mo 0.0661 0.5000 0.3029
12 Mo 0.6631 0.5001 0.4971
13 Mo 0.4693 0.5000 0.1023
14 Mo 0.2666 0.5002 0.6977
15 Ta 0.8688 0.5002 0.9000



An optimized crystal structure of MgIn2Ga. Source: the Alexandria database, functional PBEsol.

Computed properties:
**Uncorrected energy**: -11.03 eV for the cell shown
**ΔE_f**: -0.001 eV per atom

Lattice parameters (Å, degrees): 5.0389 5.0389 5.0389 60.00 60.00 60.00
Fractional coordinates of all 4 atoms:
1 In 0.7500 0.7500 0.7500
2 In 0.2500 0.2500 0.2500
3 Mg 0.0000 0.0000 0.0000
4 Ga 0.5000 0.5000 0.5000



What is the uncorrected energy in the tenth record?
-14.24 eV for the cell shown



What did the twelfth record say?
An optimized crystal structure of MgIn2Ga. Source: the Alexandria database, functional PBEsol.

Computed properties:
**Uncorrected energy**: -11.03 eV for the cell shown
**ΔE_f**: -0.001 eV per atom

Lattice parameters (Å, degrees): 5.0389 5.0389 5.0389 60.00 60.00 60.00
Fractional coordinates of all 4 atoms:
1 In 0.7500 0.7500 0.7500
2 In 0.2500 0.2500 0.2500
3 Mg 0.0000 0.0000 0.0000
4 Ga 0.5000 0.5000 0.5000



What is the uncorrected energy in the eleventh record?
-118.39 eV for the cell shown